Record 1
The following is a PBE calculation of a relaxed structure of ScRe2Pb, from Alexandria via LeMat-Bulk.

The value obtained for the energy of formation is 0.43 eV/atom. Its crystal system is monoclinic. The density of states at the Fermi level comes out at 6.5 states/eV per cell. The value obtained for the total moment is 0.00 μB per atom. Its calculated total energy is -8.30 eV/atom.

The structure belongs to space group C2/m (No. 12); the cell edges are 9.858, 3.986 and 4.233 Å and the angles 90.00°, 110.81° and 90.00°. The inequivalent atoms are Sc at (0.000, 0.000, 0.000), Re at (0.250, 0.000, 0.826) and Pb at (0.000, 0.500, 0.500).

---

Record 2
The following is a PBE calculation of a relaxed structure of Sc3RePb, from Alexandria via LeMat-Bulk.

The value obtained for the energy of formation is 0.14 eV/atom. Its crystal system is cubic. The density of states at the Fermi level comes out at 1.2 states/eV per cell. The value obtained for the total moment is 0.00 μB per atom. Its calculated total energy is -6.89 eV/atom.

The structure belongs to space group Pm-3m (No. 221); the cell edges are 5.063, 5.063 and 5.063 Å and the angles 90.00°, 90.00° and 90.00°. The inequivalent atoms are Sc at (0.000, 0.000, 0.500), Re at (0.000, 0.000, 0.000) and Pb at (0.500, 0.500, 0.500).

---

Q: Which value of energy of formation does entry 1 give?
A: 0.43 eV/atom

---

Q: Which of these has the highest energy of formation?
A: ScRe2Pb

---

Repeat the second record exactly.
The following is a PBE calculation of a relaxed structure of Sc3RePb, from Alexandria via LeMat-Bulk.

The value obtained for the energy of formation is 0.14 eV/atom. Its crystal system is cubic. The density of states at the Fermi level comes out at 1.2 states/eV per cell. The value obtained for the total moment is 0.00 μB per atom. Its calculated total energy is -6.89 eV/atom.

The structure belongs to space group Pm-3m (No. 221); the cell edges are 5.063, 5.063 and 5.063 Å and the angles 90.00°, 90.00° and 90.00°. The inequivalent atoms are Sc at (0.000, 0.000, 0.500), Re at (0.000, 0.000, 0.000) and Pb at (0.500, 0.500, 0.500).